# 1
Density functional theory data (PBE) for crystalline Cs3SiW at its relaxed geometry.

Calculated values
Energy relative to the lowest polymorph listed for this composition (kJ per mole of atoms): 0.0
DFT total energy (eV per atom): -2.56
Raw formation energy (eV/atom): 1.627

```
data_Cs3SiW
_chemical_formula_sum 'Cs3 Si1 W1'
_cell_length_a 6.932
_cell_length_b 6.932
_cell_length_c 6.932
_cell_angle_alpha 90.00
_cell_angle_beta 90.00
_cell_angle_gamma 90.00
_space_group_name_H-M_alt 'P m -3 m'
_space_group_IT_number 221
_space_group_name_Hall '-P 4 2 3'
loop_
_atom_site_label
_atom_site_type_symbol
_atom_site_fract_x
_atom_site_fract_y
_atom_site_fract_z
Cs1 Cs 0.000 0.000 0.500
Si1 Si 0.000 0.000 0.000
W1 W 0.500 0.500 0.500
```

---

# 2
Density functional theory data (PBE) for crystalline NaSrGa2N at its relaxed geometry.

Calculated values
DFT total energy (eV per atom): -2.78
Raw formation energy (eV/atom): 0.694

```
data_NaSrGa2N
_chemical_formula_sum 'Na1 Sr1 Ga2 N1'
_cell_length_a 5.130
_cell_length_b 5.130
_cell_length_c 4.427
_cell_angle_alpha 90.00
_cell_angle_beta 90.00
_cell_angle_gamma 90.00
_space_group_name_H-M_alt 'P 4/m m m'
_space_group_IT_number 123
_space_group_name_Hall '-P 4 2'
loop_
_atom_site_label
_atom_site_type_symbol
_atom_site_fract_x
_atom_site_fract_y
_atom_site_fract_z
Na1 Na 0.000 0.000 0.000
Sr1 Sr 0.500 0.500 0.500
Ga1 Ga 0.000 0.500 0.000
N1 N 0.000 0.000 0.500
```